A plane-wave DFT calculation with GGA-PBE was carried out for a relaxed structure of ScReRh2.

Structure (POSCAR):
```
ScReRh2
1.0
-1.8081 -1.3358 -3.0739
3.3926 0.3531 -2.1490
1.0388 -3.7587 1.0224
Re Rh Sc
1 2 1
Direct
0.5000 0.0000 0.5000 Re
0.0000 0.0000 0.0000 Rh
0.0000 0.5000 0.5000 Rh
0.5000 0.5000 0.0000 Sc
```

## Properties
- symmetry = P4/mmm, No. 123
- relative energy among the computed polymorphs (eV/atom) = 0.118


A plane-wave DFT calculation with GGA-PBE was carried out for a relaxed structure of ScRe2Rh.

Structure (POSCAR):
```
ScRe2Rh
1.0
-0.8468 2.8452 1.0776
0.7371 -0.8934 2.9380
5.9751 2.1037 -0.8593
Re Rh Sc
2 1 1
Direct
0.0000 0.0000 0.0141 Re
0.0000 0.0000 0.4859 Re
0.5000 0.5000 0.2500 Rh
0.5000 0.5000 0.7500 Sc
```

## Properties
- symmetry = P4/mmm, No. 123
- relative energy among the computed polymorphs (eV/atom) = 0.415


A plane-wave DFT calculation with GGA-PBE was carried out for a relaxed structure of ScRe2Rh.

Structure (POSCAR):
```
ScRe2Rh
1.0
5.3146 -0.0003 -0.0070
2.6339 4.6160 0.0070
-3.6382 -2.8866 2.5838
Re Rh Sc
2 1 1
Direct
0.0014 0.0014 0.0000 Re
0.4986 0.4986 0.0000 Re
0.7500 0.2500 0.5000 Rh
0.2500 0.7500 0.5000 Sc
```

## Properties
- symmetry = Immm, No. 71
- relative energy among the computed polymorphs (eV/atom) = 0.069


A plane-wave DFT calculation with GGA-PBE was carried out for a relaxed structure of ScRe2Rh.

Structure (POSCAR):
```
ScRe2Rh
1.0
-2.7872 -0.7219 -3.4072
-2.9507 -1.8111 2.8129
1.5672 4.1067 0.7603
Re Rh Sc
2 1 1
Direct
0.0000 0.0000 0.0000 Re
0.2500 0.7500 0.5000 Re
0.5000 0.5000 0.0000 Rh
0.7500 0.2500 0.5000 Sc
```

## Properties
- symmetry = I-4m2, No. 119
- relative energy among the computed polymorphs (eV/atom) = 0.047


A plane-wave DFT calculation with GGA-PBE was carried out for a relaxed structure of ScReRh2.

Structure (POSCAR):
```
ScReRh2
1.0
-1.7286 -2.1579 -1.6347
-1.0559 -1.2485 2.7646
-4.8041 3.9031 -0.0722
Re Rh Sc
1 2 1
Direct
0.5000 0.5000 0.7845 Re
0.0000 0.0000 0.9797 Rh
0.5000 0.5000 0.2503 Rh
0.0000 0.0000 0.4854 Sc
```

## Properties
- symmetry = P4mm, No. 99
- relative energy among the computed polymorphs (eV/atom) = 0.217


A plane-wave DFT calculation with GGA-PBE was carried out for a relaxed structure of ScReRh.

Structure (POSCAR):
```
ScReRh
1.0
4.3320 0.0000 0.0000
2.1660 3.7517 0.0000
2.1660 1.2506 3.5371
Re Rh Sc
1 1 1
Direct
0.0000 0.0000 0.0000 Re
0.5000 0.5000 0.5000 Rh
0.2500 0.2500 0.2500 Sc
```

## Properties
- symmetry = F-43m, No. 216
- relative energy among the computed polymorphs (eV/atom) = 1.156


A plane-wave DFT calculation with GGA-PBE was carried out for a relaxed structure of ScReRh2.

Structure (POSCAR):
```
ScReRh2
1.0
-3.7232 2.7250 -0.7205
-0.3158 -1.5895 -4.3796
-1.7128 -2.1055 0.8876
Re Rh Sc
1 2 1
Direct
0.0000 0.5000 0.5000 Re
0.0000 0.0000 0.0000 Rh
0.5000 0.5000 0.0000 Rh
0.5000 0.0000 0.5000 Sc
```

## Properties
- symmetry = P4/mmm, No. 123
- relative energy among the computed polymorphs (eV/atom) = 0.080


A plane-wave DFT calculation with GGA-PBE was carried out for a relaxed structure of ScReRh2.

Structure (POSCAR):
```
ScReRh2
1.0
2.8341 0.0000 0.0000
0.0000 3.8291 0.0000
0.0000 0.0000 5.7297
Re Rh Sc
1 2 1
Direct
0.5000 0.5000 0.7500 Re
0.0000 0.0000 0.9846 Rh
0.0000 0.0000 0.5154 Rh
0.5000 0.5000 0.2500 Sc
```

## Properties
- symmetry = Pmmm, No. 47
- relative energy among the computed polymorphs (eV/atom) = 0.054


A plane-wave DFT calculation with GGA-PBE was carried out for a relaxed structure of ScRe2Rh.

Structure (POSCAR):
```
ScRe2Rh
1.0
-8.0392 4.5228 1.9793
-8.8023 1.9384 2.7866
-7.4185 3.6178 4.5694
Re Rh Sc
2 1 1
Direct
0.9954 0.9954 0.9954 Re
0.5046 0.5046 0.5046 Re
0.2500 0.2500 0.2500 Rh
0.7500 0.7500 0.7500 Sc
```

## Properties
- symmetry = R-3m, No. 166
- relative energy among the computed polymorphs (eV/atom) = 0.338


A plane-wave DFT calculation with GGA-PBE was carried out for a relaxed structure of ScRe2Rh.

Structure (POSCAR):
```
ScRe2Rh
1.0
7.5477 0.0000 0.0000
0.0000 7.5477 0.0000
3.7739 3.7739 2.4901
Sc Re Rh
2 4 2
Direct
0.5000 0.5000 0.0000 Sc
0.2500 0.7500 0.5000 Sc
0.6626 0.1250 0.2500 Re
0.0874 0.6250 0.2500 Re
0.3750 0.3374 0.7500 Re
0.8750 0.9126 0.7500 Re
0.0000 0.0000 0.0000 Rh
0.7500 0.2500 0.5000 Rh
```

## Properties
- symmetry = I-42d, No. 122
- relative energy among the computed polymorphs (eV/atom) = 0.629


A plane-wave DFT calculation with GGA-PBE was carried out for a relaxed structure of ScRe4Rh.

Structure (POSCAR):
```
ScRe4Rh
1.0
0.0000 3.6804 3.6804
3.6804 0.0000 3.6804
3.6804 3.6804 0.0000
Sc Re Rh
1 4 1
Direct
0.0000 0.0000 0.0000 Sc
0.8748 0.3750 0.3750 Re
0.3750 0.3750 0.8748 Re
0.3750 0.8748 0.3750 Re
0.3750 0.3750 0.3750 Re
0.7500 0.7500 0.7500 Rh
```

## Properties
- symmetry = F-43m, No. 216


A plane-wave DFT calculation with GGA-PBE was carried out for a relaxed structure of Sc4ReRh.

Structure (POSCAR):
```
Sc4ReRh
1.0
-0.4561 2.2021 4.9224
1.9599 4.9561 0.9393
-3.3885 4.1414 0.8082
Sc Re Rh
4 1 1
Direct
0.8745 0.3752 0.3752 Sc
0.3752 0.3752 0.8745 Sc
0.3752 0.8745 0.3752 Sc
0.3752 0.3752 0.3752 Sc
0.7500 0.7500 0.7500 Re
0.0000 0.0000 0.0000 Rh
```

## Properties
- symmetry = F-43m, No. 216


Respective calculated formation energy values: -0.258 0.253 -0.093 -0.115 -0.159 0.909 -0.296 -0.321 0.176 0.467 0.080 0.493 eV/atom.
Respective total magnetic moment values: 0.01 0.00 0.00 0.77 0.00 2.59 0.00 0.00 0.00 0.00 0.00 0.00 Bohr magnetons per cell.